Entry from the Open Quantum Materials Database: a relaxed structure of CoAuSeO (PBE with a Hubbard U).

energy above the most stable polymorph in this dataset	0.00	eV/f.u.
energy	-4.489	eV per atom
total magnetic moment	2.5	μB/f.u.
SG	P2_1, No. 4

a = 5.272 Å, b = 5.289 Å, c = 10.477 Å
α = 90.00°, β = 93.87°, γ = 90.00°
Sites, in units of the cell vectors:
Au  0.984  0.332  0.348
Au  0.365  0.067  0.492
Au  0.635  0.567  0.508
Au  0.016  0.832  0.652
Co  0.008  0.833  0.041
Co  0.504  0.326  0.094
Co  0.496  0.826  0.906
Co  0.992  0.333  0.959
O  0.750  0.081  0.002
O  0.754  0.583  0.017
O  0.246  0.083  0.983
O  0.250  0.581  0.998
Se  0.281  0.037  0.253
Se  0.659  0.641  0.275
Se  0.341  0.141  0.725
Se  0.719  0.537  0.747